1.
First-principles (PBE-GGA) data for crystalline H4PtRh at its relaxed geometry, as listed in Alexandria.

Cell lengths 2.999, 15.152, 4.084 Å; angles 90.00, 90.00, 90.00 degrees
Space group Cmc2_1 (No. 36)
One atom of each set of equivalent atoms:
H1 0.000 0.030 0.000 [4 per cell]
H2 0.000 0.300 0.598 [4 per cell]
H3 0.000 0.343 0.100 [4 per cell]
H4 0.000 0.466 0.814 [4 per cell]
Pt1 0.000 0.192 0.383 [4 per cell]
Rh1 0.000 0.425 0.424 [4 per cell]

Output
- Polymorph energy (0 for the lowest one): 0.0136 eV per atom
- E_tot: -4.344 eV per atom

---

2.
First-principles (PBE-GGA) data for crystalline Mo2HPtAu at its relaxed geometry, as listed in Alexandria.

Cell lengths 3.957, 3.957, 4.244 Å; angles 90.00, 90.00, 90.00 degrees
Space group P4/mmm (No. 123)
One atom of each set of equivalent atoms:
Mo1 0.000 0.500 0.000 [2 per cell]
H1 0.000 0.000 0.000 [1 per cell]
Pt1 0.000 0.000 0.500 [1 per cell]
Au1 0.500 0.500 0.500 [1 per cell]

Output
- E_tot: -6.765 eV per atom

---

3.
First-principles (PBE-GGA) data for crystalline KSn2P3O12 at its relaxed geometry, as listed in Alexandria.

Cell lengths 8.4980, 8.4980, 23.9112 Å; angles 90.00, 90.00, 120.00 degrees
Space group R-3 (No. 148, hexagonal axes)
One atom of each set of equivalent atoms:
K1 0.0000 0.0000 0.0000 [3 per cell]
K2 0.0000 0.0000 0.5000 [3 per cell]
Sn1 0.0000 0.0000 0.1485 [6 per cell]
Sn2 0.0000 0.0000 0.3462 [6 per cell]
P1 0.9997 0.2898 0.7498 [18 per cell]
O1 0.0260 0.1987 0.0928 [18 per cell]
O2 0.0293 0.8141 0.1949 [18 per cell]
O3 0.0708 0.2154 0.4003 [18 per cell]
O4 0.0815 0.2288 0.7022 [18 per cell]

Output
- E_tot: -6.796 eV per atom
- Formation energy (no corrections): -2.08 eV per atom

---

> Which of these has the lowest E_tot?

KSn2P3O12